Compound: SiRh2
Source: the Alexandria database
Functional: GGA-PBE
Structure: relaxed

Final energy in eV/atom: -6.644
Magnetization in μB/cell: 0.00
DOS at the Fermi energy in states/eV per cell: 2.4
Raw formation energy in eV per atom: 0.06

Geometry as POSCAR:
```
SiRh2
1.0
4.274 0.000 0.000
-2.137 3.702 0.000
0.000 0.000 2.725
Si Rh
1 2
Cartesian
0.000 0.000 0.000
0.000 2.468 1.363
2.137 1.234 1.363
```